A | Entry from the Alexandria database: crystalline Zn2Ag4Au at its relaxed geometry (PBE).

Results
- N(E_F): 1.89 states/eV/f.u.
- Total magnetization: 0.000 Bohr magnetons per cell
- SG: P2_1/c, No. 14

Unit cell a=5.0669 b=9.4070 c=5.2139 alpha=90.00 beta=95.06 gamma=90.00
Closest atoms and distances in Å follow each position.
Atoms (fractional coordinates):
1 Zn 0.1470 0.0829 0.1406  1 Zn 2.53, 5 Ag 2.59-2.73, 1 Au 2.59
2 Zn 0.1470 0.4171 0.6406  1 Zn 2.53, 5 Ag 2.59-2.73, 1 Au 2.59
3 Zn 0.8530 0.5829 0.3594  1 Zn 2.53, 5 Ag 2.59-2.73, 1 Au 2.59
4 Zn 0.8530 0.9171 0.8594  1 Zn 2.53, 5 Ag 2.59-2.73, 1 Au 2.59
5 Ag 0.0430 0.1474 0.6304  4 Zn 2.59-2.73, 1 Au 2.83, 1 Ag 2.88
6 Ag 0.0430 0.3526 0.1304  4 Zn 2.59-2.73, 1 Au 2.83, 1 Ag 2.88
7 Ag 0.4055 0.6772 0.5352  2 Zn 2.67-2.85, 3 Ag 2.88-2.94, 1 Au 2.95
8 Ag 0.4055 0.8228 0.0352  2 Zn 2.67-2.85, 3 Ag 2.88-2.94, 1 Au 2.95
9 Ag 0.5945 0.1772 0.9648  2 Zn 2.67-2.85, 3 Ag 2.88-2.94, 1 Au 2.95
10 Ag 0.5945 0.3228 0.4648  2 Zn 2.67-2.85, 3 Ag 2.88-2.94, 1 Au 2.95
11 Ag 0.9570 0.6474 0.8696  4 Zn 2.59-2.73, 1 Au 2.83, 1 Ag 2.88
12 Ag 0.9570 0.8526 0.3696  4 Zn 2.59-2.73, 1 Au 2.83, 1 Ag 2.88
13 Au 0.5000 0.0000 0.5000  2 Zn 2.59, 2 Ag 2.83
14 Au 0.5000 0.5000 0.0000  2 Zn 2.59, 2 Ag 2.83

B | Entry from the Alexandria database: crystalline Zn2Ag4Au at its relaxed geometry (PBE).

Results
- N(E_F): 1.27 states/eV/f.u.
- Total magnetization: 0.000 Bohr magnetons per cell
- SG: I-42d, No. 122

Unit cell a=6.8961 b=6.8961 c=6.8961 alpha=109.51 beta=109.51 gamma=109.39
Closest atoms and distances in Å follow each position.
Atoms (fractional coordinates):
1 Zn 0.0091 0.1250 0.3841  8 Ag 2.67-2.77
2 Zn 0.3750 0.9909 0.1159  8 Ag 2.67-2.77
3 Zn 0.7409 0.6250 0.6159  8 Ag 2.67-2.77
4 Zn 0.8750 0.2591 0.8841  8 Ag 2.67-2.77
5 Ag 0.1077 0.5282 0.7459  4 Zn 2.67-2.77, 2 Au 2.80-2.83, 2 Ag 2.88-2.91
6 Ag 0.1119 0.0323 0.7541  4 Zn 2.67-2.77, 2 Au 2.80-2.83, 2 Ag 2.88-2.91
7 Ag 0.2782 0.3577 0.2459  4 Zn 2.67-2.77, 2 Au 2.80-2.83, 2 Ag 2.88-2.91
8 Ag 0.4718 0.2177 0.5796  4 Zn 2.67-2.77, 2 Au 2.80-2.83, 2 Ag 2.88-2.91
9 Ag 0.6381 0.8923 0.4204  4 Zn 2.67-2.77, 2 Au 2.80-2.83, 2 Ag 2.88-2.91
10 Ag 0.6423 0.8881 0.9204  4 Zn 2.67-2.77, 2 Au 2.80-2.83, 2 Ag 2.88-2.91
11 Ag 0.7823 0.3619 0.2541  4 Zn 2.67-2.77, 2 Au 2.80-2.83, 2 Ag 2.88-2.91
12 Ag 0.9677 0.7218 0.0796  4 Zn 2.67-2.77, 2 Au 2.80-2.83, 2 Ag 2.88-2.91
13 Au 0.2500 0.7500 0.5000  8 Ag 2.80-2.83
14 Au 0.5000 0.5000 0.0000  8 Ag 2.80-2.83

Relative energies in eV/atom: A 0.000; B 0.050

A | Entry from the Alexandria database: crystalline Zn6AgAu12 at its relaxed geometry (PBE).

Results
- N(E_F): 4.65 states/eV/f.u.
- Total magnetization: 0.000 Bohr magnetons per cell
- SG: R-3, No. 148

Unit cell a=7.3126 b=7.3126 c=7.3126 alpha=103.93 beta=103.93 gamma=103.93
Closest atoms and distances in Å follow each position.
Atoms (fractional coordinates):
1 Zn 0.0684 0.2591 0.3261  5 Au 2.61-2.85, 2 Zn 2.67
2 Zn 0.2591 0.3261 0.0684  5 Au 2.61-2.85, 2 Zn 2.67
3 Zn 0.3261 0.0684 0.2591  5 Au 2.61-2.85, 2 Zn 2.67
4 Zn 0.6739 0.9316 0.7409  5 Au 2.61-2.85, 2 Zn 2.67
5 Zn 0.7409 0.6739 0.9316  5 Au 2.61-2.85, 2 Zn 2.67
6 Zn 0.9316 0.7409 0.6739  5 Au 2.61-2.85, 2 Zn 2.67
7 Ag 0.5000 0.5000 0.5000  6 Au 2.86, 6 Zn 3.00
8 Au 0.0324 0.1318 0.6848  3 Zn 2.71-2.85, 6 Au 2.77-2.97
9 Au 0.1318 0.6848 0.0324  3 Zn 2.71-2.85, 6 Au 2.77-2.97
10 Au 0.1927 0.5322 0.6722  2 Zn 2.61-2.72, 4 Au 2.79-2.91, 1 Ag 2.86
11 Au 0.3152 0.9676 0.8682  3 Zn 2.71-2.85, 6 Au 2.77-2.97
12 Au 0.3278 0.8073 0.4678  2 Zn 2.61-2.72, 4 Au 2.79-2.91, 1 Ag 2.86
13 Au 0.4678 0.3278 0.8073  2 Zn 2.61-2.72, 4 Au 2.79-2.91, 1 Ag 2.86
14 Au 0.5322 0.6722 0.1927  2 Zn 2.61-2.72, 4 Au 2.79-2.91, 1 Ag 2.86
15 Au 0.6722 0.1927 0.5322  2 Zn 2.61-2.72, 4 Au 2.79-2.91, 1 Ag 2.86
16 Au 0.6848 0.0324 0.1318  4 Zn 2.71-3.03, 6 Au 2.77-2.97
17 Au 0.8073 0.4678 0.3278  2 Zn 2.61-2.72, 4 Au 2.79-2.91, 1 Ag 2.86
18 Au 0.8682 0.3152 0.9676  3 Zn 2.71-2.85, 6 Au 2.77-2.97
19 Au 0.9676 0.8682 0.3152  3 Zn 2.71-2.85, 6 Au 2.77-2.97

B | Entry from the Alexandria database: crystalline Zn6AgAu12 at its relaxed geometry (PBE).

Results
- N(E_F): 7.43 states/eV/f.u.
- Total magnetization: 0.000 Bohr magnetons per cell
- SG: R-3, No. 148

Unit cell a=7.6460 b=7.6460 c=7.6460 alpha=110.96 beta=110.96 gamma=110.96
Closest atoms and distances in Å follow each position.
Atoms (fractional coordinates):
1 Zn 0.0499 0.3526 0.5742  8 Au 2.71-2.92, 2 Zn 2.87
2 Zn 0.3526 0.5742 0.0499  8 Au 2.71-2.92, 2 Zn 2.87
3 Zn 0.4258 0.9501 0.6474  8 Au 2.71-2.92, 2 Zn 2.87
4 Zn 0.5742 0.0499 0.3526  8 Au 2.71-2.92, 2 Zn 2.87
5 Zn 0.6474 0.4258 0.9501  8 Au 2.71-2.92, 2 Zn 2.87
6 Zn 0.9501 0.6474 0.4258  8 Au 2.71-2.92, 2 Zn 2.87
7 Ag 0.0000 0.0000 0.0000  12 Au 2.96-2.97
8 Au 0.1138 0.7355 0.1661  5 Zn 2.76-2.92, 6 Au 2.82-3.08, 1 Ag 2.96
9 Au 0.1661 0.1138 0.7355  5 Zn 2.76-2.92, 6 Au 2.82-3.08, 1 Ag 2.96
10 Au 0.2013 0.4785 0.3413  3 Zn 2.71-2.84, 6 Au 2.82-3.03, 1 Ag 2.97
11 Au 0.2645 0.8339 0.8862  5 Zn 2.76-2.92, 6 Au 2.82-3.08, 1 Ag 2.96
12 Au 0.3413 0.2013 0.4785  3 Zn 2.71-2.84, 6 Au 2.82-3.03, 1 Ag 2.97
13 Au 0.4785 0.3413 0.2013  3 Zn 2.71-2.84, 6 Au 2.82-3.03, 1 Ag 2.97
14 Au 0.5215 0.6587 0.7987  3 Zn 2.71-2.84, 6 Au 2.82-3.03, 1 Ag 2.97
15 Au 0.6587 0.7987 0.5215  3 Zn 2.71-2.84, 6 Au 2.82-3.03, 1 Ag 2.97
16 Au 0.7355 0.1661 0.1138  5 Zn 2.76-2.92, 6 Au 2.82-3.08, 1 Ag 2.96
17 Au 0.7987 0.5215 0.6587  3 Zn 2.71-2.84, 6 Au 2.82-3.03, 1 Ag 2.97
18 Au 0.8339 0.8862 0.2645  5 Zn 2.76-2.92, 6 Au 2.82-3.08, 1 Ag 2.96
19 Au 0.8862 0.2645 0.8339  5 Zn 2.76-2.92, 6 Au 2.82-3.08, 1 Ag 2.96

Relative energies in eV/atom: A 0.074; B 0.000

A | Entry from the Alexandria database: crystalline Zn2AgAu5 at its relaxed geometry (PBE).

Results
- N(E_F): 2.77 states/eV/f.u.
- Total magnetization: 0.000 Bohr magnetons per cell
- SG: Pbam, No. 55

Unit cell a=5.7982 b=11.6332 c=4.0748 alpha=90.00 beta=90.00 gamma=90.00
Closest atoms and distances in Å follow each position.
Atoms (fractional coordinates):
1 Zn 0.2422 0.1275 0.0000  10 Au 2.86-2.91, 2 Ag 2.93
2 Zn 0.2578 0.6275 0.0000  10 Au 2.86-2.91, 2 Ag 2.93
3 Zn 0.7422 0.3725 0.0000  10 Au 2.86-2.91, 2 Ag 2.93
4 Zn 0.7578 0.8725 0.0000  10 Au 2.86-2.91, 2 Ag 2.93
5 Ag 0.0000 0.5000 0.5000  8 Au 2.86-2.90, 4 Zn 2.93
6 Ag 0.5000 0.0000 0.5000  8 Au 2.86-2.90, 4 Zn 2.93
7 Au 0.0000 0.0000 0.5000  4 Zn 2.88, 6 Au 2.89-2.94, 2 Ag 2.90
8 Au 0.0089 0.7475 0.5000  4 Zn 2.86-2.90, 1 Ag 2.88, 7 Au 2.90-2.94
9 Au 0.2447 0.3777 0.0000  2 Ag 2.86, 4 Zn 2.88-2.91, 6 Au 2.89-2.91
10 Au 0.2553 0.8777 0.0000  2 Ag 2.86, 4 Zn 2.88-2.91, 6 Au 2.89-2.91
11 Au 0.4911 0.2475 0.5000  4 Zn 2.86-2.90, 1 Ag 2.88, 7 Au 2.90-2.94
12 Au 0.5000 0.5000 0.5000  4 Zn 2.88, 6 Au 2.89-2.94, 2 Ag 2.90
13 Au 0.5089 0.7525 0.5000  4 Zn 2.86-2.90, 1 Ag 2.88, 7 Au 2.90-2.94
14 Au 0.7447 0.1223 0.0000  2 Ag 2.86, 4 Zn 2.88-2.91, 6 Au 2.89-2.91
15 Au 0.7553 0.6223 0.0000  2 Ag 2.86, 4 Zn 2.88-2.91, 6 Au 2.89-2.91
16 Au 0.9911 0.2525 0.5000  4 Zn 2.86-2.90, 1 Ag 2.88, 7 Au 2.90-2.94

B | Entry from the Alexandria database: crystalline Zn2AgAu5 at its relaxed geometry (PBE).

Results
- N(E_F): 1.85 states/eV/f.u.
- Total magnetization: 0.000 Bohr magnetons per cell
- SG: Immm, No. 71

Unit cell a=3.0350 b=8.5882 c=10.7561 alpha=90.00 beta=90.00 gamma=90.00
Closest atoms and distances in Å follow each position.
Atoms (fractional coordinates):
1 Zn 0.0000 0.0000 0.2499  7 Au 2.58-2.84
2 Zn 0.0000 0.0000 0.7501  7 Au 2.58-2.84
3 Zn 0.5000 0.5000 0.2501  7 Au 2.58-2.84
4 Zn 0.5000 0.5000 0.7499  7 Au 2.58-2.84
5 Ag 0.0000 0.5000 0.0000  2 Ag 3.03, 8 Au 3.07, 4 Zn 3.09
6 Ag 0.5000 0.0000 0.5000  2 Ag 3.03, 8 Au 3.07, 4 Zn 3.09
7 Au 0.0000 0.0000 0.0000  2 Zn 2.69, 8 Au 2.92
8 Au 0.0000 0.2622 0.3676  3 Zn 2.58-2.84, 1 Au 2.85
9 Au 0.0000 0.2622 0.6324  3 Zn 2.58-2.84, 1 Au 2.85
10 Au 0.0000 0.7378 0.3676  3 Zn 2.58-2.84, 1 Au 2.85
11 Au 0.0000 0.7378 0.6324  3 Zn 2.58-2.84, 1 Au 2.85
12 Au 0.5000 0.2378 0.1324  3 Zn 2.58-2.84, 1 Au 2.85
13 Au 0.5000 0.2378 0.8676  3 Zn 2.58-2.84, 1 Au 2.85
14 Au 0.5000 0.5000 0.5000  2 Zn 2.69, 8 Au 2.92
15 Au 0.5000 0.7622 0.1324  3 Zn 2.58-2.84, 1 Au 2.85
16 Au 0.5000 0.7622 0.8676  3 Zn 2.58-2.84, 1 Au 2.85

Relative energies in eV/atom: A 0.000; B 0.026

A | Entry from the Alexandria database: crystalline Zn2Ag8Au at its relaxed geometry (PBE).

Results
- N(E_F): 3.66 states/eV/f.u.
- Total magnetization: 0.000 Bohr magnetons per cell
- SG: C2/m, No. 12

Unit cell a=7.5609 b=7.5609 c=6.6368 alpha=106.99 beta=106.99 gamma=31.78
Closest atoms and distances in Å follow each position.
Atoms (fractional coordinates):
1 Zn 0.2245 0.2245 0.1457  10 Ag 2.79-2.93, 2 Zn 3.07
2 Zn 0.7755 0.7755 0.8543  10 Ag 2.79-2.93, 2 Zn 3.07
3 Ag 0.0461 0.0461 0.2283  1 Zn 2.81, 9 Ag 2.87-3.03, 2 Au 2.95
4 Ag 0.1437 0.1437 0.7016  3 Zn 2.79-2.82, 7 Ag 2.88-3.03, 2 Au 2.96
5 Ag 0.3183 0.3183 0.5829  3 Zn 2.81-2.93, 8 Ag 2.85-2.96, 1 Au 2.86
6 Ag 0.4028 0.4028 0.0386  3 Zn 2.80-2.89, 8 Ag 2.90-3.02, 1 Au 2.96
7 Ag 0.5972 0.5972 0.9614  3 Zn 2.80-2.89, 8 Ag 2.90-3.02, 1 Au 2.96
8 Ag 0.6817 0.6817 0.4171  3 Zn 2.81-2.93, 8 Ag 2.85-2.96, 1 Au 2.86
9 Ag 0.8563 0.8563 0.2984  3 Zn 2.79-2.82, 7 Ag 2.88-3.03, 2 Au 2.96
10 Ag 0.9539 0.9539 0.7717  1 Zn 2.81, 9 Ag 2.87-3.03, 2 Au 2.95
11 Au 0.5000 0.5000 0.5000  12 Ag 2.86-2.96

B | Entry from the Alexandria database: crystalline Zn2Ag8Au at its relaxed geometry (PBE).

Results
- N(E_F): 3.18 states/eV/f.u.
- Total magnetization: 0.000 Bohr magnetons per cell
- SG: C2/m, No. 12

Unit cell a=7.6993 b=7.6993 c=6.6186 alpha=106.24 beta=106.24 gamma=30.46
Closest atoms and distances in Å follow each position.
Atoms (fractional coordinates):
1 Zn 0.1360 0.1360 0.1793  10 Ag 2.86-2.94, 2 Au 2.86
2 Zn 0.8640 0.8640 0.8207  10 Ag 2.86-2.94, 2 Au 2.86
3 Ag 0.0464 0.0464 0.7311  8 Ag 2.87-2.97, 2 Zn 2.88-2.94, 2 Au 2.91
4 Ag 0.2293 0.2293 0.6357  3 Zn 2.86-2.94, 9 Ag 2.89-2.96
5 Ag 0.3171 0.3171 0.0903  8 Ag 2.85-2.95, 3 Zn 2.91-2.92, 1 Au 2.95
6 Ag 0.4094 0.4094 0.5502  9 Ag 2.87-2.95, 1 Au 2.89, 2 Zn 2.91
7 Ag 0.5906 0.5906 0.4498  9 Ag 2.87-2.95, 1 Au 2.89, 2 Zn 2.91
8 Ag 0.6829 0.6829 0.9097  8 Ag 2.85-2.95, 3 Zn 2.91-2.92, 1 Au 2.95
9 Ag 0.7707 0.7707 0.3643  3 Zn 2.86-2.94, 9 Ag 2.89-2.96
10 Ag 0.9536 0.9536 0.2689  8 Ag 2.87-2.97, 2 Zn 2.88-2.94, 2 Au 2.91
11 Au 0.5000 0.5000 0.0000  4 Zn 2.86, 8 Ag 2.89-2.95

Relative energies in eV/atom: A 0.009; B 0.000